DFT (PBE with a Hubbard U) results for a relaxed structure of Li4Ti3V3Co2O16.

Lattice parameters (Å, degrees): 5.910 5.922 9.815 89.96 89.64 60.14
Fractional positions:
Li (0.000, 0.000, 0.000)
Li (0.003, 0.976, 0.500)
Li (0.319, 0.337, 0.403)
Li (0.654, 0.655, 0.902)
Ti (0.657, 0.188, 0.712)
Ti (0.785, 0.337, 0.216)
Ti (0.863, 0.793, 0.216)
V (0.137, 0.649, 0.720)
V (0.187, 0.130, 0.722)
V (0.330, 0.863, 0.224)
Co (0.327, 0.322, 0.994)
Co (0.664, 0.658, 0.496)
O (0.022, 0.481, 0.834)
O (0.142, 0.168, 0.111)
O (0.163, 0.682, 0.111)
O (0.311, 0.812, 0.615)
O (0.328, 0.316, 0.609)
O (0.458, 0.022, 0.835)
O (0.479, 0.463, 0.837)
O (0.494, 0.970, 0.336)
O (0.506, 0.516, 0.337)
O (0.660, 0.670, 0.111)
O (0.673, 0.155, 0.107)
O (0.825, 0.837, 0.610)
O (0.848, 0.302, 0.609)
O (0.955, 0.524, 0.337)
O (0.983, 0.006, 0.317)
O (0.986, 0.989, 0.816)

Summary:
total magnetization = 8.973 μB per formula unit
symmetry = P1, No. 1
volume = 10.6 Å³/atom
total DFT energy (no corrections) = -0.5395 Ry per atom